Record 1
GGA-PBE ZrCo2Cu, optimized geometry; magnetization = 2.7 μB/f.u.; calculated formation energy = 373 meV per atom; ρ = 7.98 g/cm³; calculated volume = 56.7 Å³ per cell
1.0
-4.016 -1.553 -7.756
-1.422 -1.975 -8.531
-2.856 -4.007 -7.382
Co Cu Zr
2 1 1
Cartesian
-8.233 -7.479 -23.495
-4.208 -3.822 -12.008
-2.073 -1.884 -5.917
-6.220 -5.651 -17.752

=====

Record 2
GGA-PBE ZrCoCu2, optimized geometry; magnetization = 0.0 μB/f.u.; calculated formation energy = -154 meV per atom; ρ = 8.27 g/cm³; calculated volume = 55.7 Å³ per cell
1.0
4.910 -0.019 -0.035
2.212 4.384 0.035
-3.548 -2.204 2.582
Co Cu Zr
1 2 1
Cartesian
1.113 2.181 1.309
7.120 4.363 0.000
3.564 2.184 0.000
2.462 -0.020 1.273

=====

Record 3
GGA-PBE Zr3Co2Cu, optimized geometry; magnetization = 0.0 μB/f.u.; calculated formation energy = -225 meV per atom; ρ = 7.59 g/cm³; calculated volume = 99.6 Å³ per cell
1.0
3.224 0.000 0.000
0.000 4.322 -1.431
0.000 -0.027 7.159
Zr Co Cu
3 2 1
Cartesian
1.612 2.161 -0.715
1.612 3.570 3.540
1.612 0.724 2.188
0.000 1.420 4.290
3.224 2.874 1.438
0.000 0.000 0.000

=====

Record 4
GGA-PBE ZrCo2Cu, optimized geometry; magnetization = 1.5 μB/f.u.; calculated formation energy = -80 meV per atom; ρ = 8.32 g/cm³; calculated volume = 54.4 Å³ per cell
1.0
-1.463 3.485 2.859
-2.612 -1.581 3.624
4.211 -1.228 -1.795
Co Cu Zr
2 1 1
Cartesian
-4.075 1.904 6.484
0.355 1.605 2.154
-2.037 0.952 3.241
-0.219 -0.929 2.536

=====

Record 5
GGA-PBE Zr5CoCu, optimized geometry; magnetization = 0.0 μB/f.u.; calculated formation energy = 32 meV per atom; ρ = 6.84 g/cm³; calculated volume = 280.9 Å³ per cell
1.0
5.319 -0.452 0.003
1.259 5.187 0.003
2.285 1.645 9.977
Zr Co Cu
10 2 2
Cartesian
5.881 2.684 1.316
3.104 3.538 5.522
5.553 5.548 6.305
1.904 5.496 2.497
5.665 5.381 9.450
3.198 0.999 0.533
6.958 0.885 7.486
3.309 0.833 3.678
5.758 2.842 4.461
2.982 3.696 8.666
0.000 0.000 0.000
1.142 0.822 4.989
3.479 3.309 2.497
5.384 3.072 7.486

=====

Record 6
GGA-PBE ZrCo2Cu2, optimized geometry; magnetization = 1.4 μB/f.u.; calculated formation energy = 79 meV per atom; ρ = 8.31 g/cm³; calculated volume = 134.3 Å³ per cell
1.0
6.906 0.000 0.000
0.000 6.906 0.000
0.000 0.000 2.817
Co Cu Zr
4 4 2
Cartesian
2.602 6.055 0.000
6.055 4.304 0.000
4.304 0.851 0.000
0.851 2.602 0.000
1.171 4.624 1.408
4.624 5.735 1.408
5.735 2.282 1.408
2.282 1.171 1.408
0.000 0.000 0.000
3.453 3.453 0.000